1.
RbHfCdAu (PBE, relaxed); E above lowest polymorph = 84 kJ/mol of formula units
1.0
-2.484 -0.074 4.482
0.685 3.798 3.372
-3.777 3.347 0.892
Au Cd Hf Rb
1 1 1 1
Direct
0.750 0.750 0.750
0.000 0.000 0.000
0.250 0.250 0.250
0.500 0.500 0.500

2.
RbHfCdAu (PBE, relaxed); E above lowest polymorph = 0 kJ/mol of formula units
1.0
0.000 3.724 3.724
3.724 0.000 3.724
3.724 3.724 0.000
Au Cd Hf Rb
1 1 1 1
Direct
0.750 0.750 0.750
0.250 0.250 0.250
0.000 0.000 0.000
0.500 0.500 0.500

3.
TmHfCd2Au4 (PBE, relaxed); raw total energy = -0.155 hartree per atom
1.0
4.831 0.000 0.000
0.000 4.831 0.000
0.000 0.000 6.821
Au Cd Hf Tm
4 2 1 1
Direct
0.500 0.000 0.263
0.000 0.500 0.263
0.500 0.000 0.737
0.000 0.500 0.737
0.000 0.000 0.000
0.500 0.500 0.500
0.000 0.000 0.500
0.500 0.500 0.000

| no. | total magnetic moment (μB per atom) |
| --- | --- |
| 1 | 0.000 |
| 2 | 0.000 |
| 3 | 0.000 |